Entry 1:
Below is Re5Ru at its PBEsol-relaxed geometry, with properties calculated at the SCAN level.

Lattice parameters (Å, degrees): 4.402 2.745 14.297 90.00 90.00 90.00
Space group Amm2 (No. 38)
One atom of each set of equivalent atoms:
Re 0.000 0.000 0.000 x2
Re 0.000 0.000 0.330 x2
Re 0.500 0.000 0.220 x2
Re 0.500 0.000 0.555 x2
Re 0.500 0.000 0.888 x2
Ru 0.000 0.000 0.667 x2

## Properties
final energy	-65.09	eV/atom
total magnetization	0.000	μB per atom

---

Entry 2:
Below is TaTc2Os at its PBEsol-relaxed geometry, with properties calculated at the SCAN level.

Lattice parameters (Å, degrees): 2.7473 2.7473 27.4973 90.00 90.00 120.00
Space group R-3m (No. 166, hexagonal axes)
One atom of each set of equivalent atoms:
Ta 0.0000 0.0000 0.0000 x3
Tc 0.0000 0.0000 0.2451 x6
Os 0.0000 0.0000 0.5000 x3

## Properties
final energy	-52.02	eV/atom
total magnetization	0.000	μB per atom